CrNiH2Rh after structural relaxation, computed with PBE.

Geometry as CIF:
```
data_CrNiH2Rh
_chemical_formula_sum 'Cr2 Ni2 H4 Rh2'
_cell_length_a 5.215
_cell_length_b 5.215
_cell_length_c 6.279
_cell_angle_alpha 104.57
_cell_angle_beta 104.57
_cell_angle_gamma 30.12
_symmetry_space_group_name_H-M 'P 1'
_symmetry_Int_Tables_number 1
_symmetry_space_group_name_Hall 'P 1'
loop_
_atom_site_label
_atom_site_fract_x
_atom_site_fract_y
_atom_site_fract_z
Cr1 0.021 0.021 0.314
Cr2 0.979 0.979 0.686
Ni1 0.372 0.372 0.972
Ni2 0.628 0.628 0.028
H1 0.165 0.165 0.879
H2 0.353 0.353 0.694
H3 0.647 0.647 0.306
H4 0.835 0.835 0.121
Rh1 0.317 0.317 0.363
Rh2 0.683 0.683 0.637
```

Density of states at the Fermi level ... 2.6 states/eV/f.u.
Energy ... -29.63 eV/f.u.
Theoretical density ... 8.65 g/cm³
Total magnetic moment ... 0.0 μB per formula unit
Space group ... C2/m (12)